Entry 1:
Density functional theory data (GGA-PBE) for a relaxed structure of CsInF2.

## Properties
energy = -3.91 eV per atom
space-group type = I-42d, No. 122

Cell: 6.495 6.495 7.506 Å, 64.37 64.37 90.00°
Fractional coordinates of all 8 atoms:
Cs 0.750 0.250 0.500
Cs 0.000 0.000 0.000
In 0.500 0.500 0.000
In 0.250 0.750 0.500
F 0.375 0.419 0.750
F 0.875 0.831 0.750
F 0.169 0.625 0.250
F 0.581 0.125 0.250

---

Entry 2:
Density functional theory data (GGA-PBE) for a relaxed structure of Re2NiRh.

## Properties
energy = -9.49 eV per atom
space-group type = I-4m2, No. 119

Cell: 4.614 4.614 4.614 Å, 130.57 130.57 72.49°
Fractional coordinates of all 4 atoms:
Ni 0.750 0.250 0.500
Re 0.250 0.750 0.500
Re 0.000 0.000 0.000
Rh 0.500 0.500 0.000

---

Entry 3:
Density functional theory data (GGA-PBE) for a relaxed structure of TaNi6Pt2.

## Properties
energy = -6.58 eV per atom
space-group type = C2/m, No. 12

Cell: 5.929 4.825 4.825 Å, 59.96 89.88 89.88°
Last column: magnetic moment on the atom in μB.
Fractional coordinates of all 9 atoms:
Ta 0.000 0.000 0.000  -0.08
Pt 0.081 0.333 0.333  0.05
Pt 0.919 0.667 0.667  0.05
Ni 0.339 0.828 0.828  0.40
Ni 0.661 0.172 0.172  0.40
Ni 0.662 0.172 0.657  0.40
Ni 0.338 0.828 0.343  0.40
Ni 0.662 0.657 0.172  0.40
Ni 0.338 0.343 0.828  0.40

---

Entry 4:
Density functional theory data (GGA-PBE) for a relaxed structure of Ac2ScSb3Ir4.

## Properties
energy = -6.96 eV per atom
space-group type = P-4m2, No. 115

Cell: 4.438 4.438 11.477 Å, 90.00 90.00 90.00°
Fractional coordinates of all 10 atoms:
Sc 0.500 0.500 0.500
Ir 0.500 0.000 0.638
Ir 0.500 0.500 0.000
Ir 0.000 0.000 0.000
Ir 0.000 0.500 0.362
Sb 0.000 0.000 0.500
Sb 0.500 0.000 0.869
Sb 0.000 0.500 0.131
Ac 0.000 0.500 0.754
Ac 0.500 0.000 0.246

---

Entry 5:
Density functional theory data (GGA-PBE) for a relaxed structure of CaMnTl3.

## Properties
energy = -2.76 eV per atom
space-group type = Pm-3m, No. 221

Cell: 5.880 5.880 5.880 Å, 90.00 90.00 90.00°
Last column: magnetic moment on the atom in μB.
Fractional coordinates of all 5 atoms:
Tl 0.000 0.000 0.500  0.00
Tl 0.000 0.500 0.000  -0.02
Tl 0.500 0.000 0.000  0.02
Ca 0.000 0.000 0.000  0.01
Mn 0.500 0.500 0.500  4.51

---

Entry 6:
Density functional theory data (GGA-PBE) for a relaxed structure of KRbMoS4.

## Properties
energy = -5.16 eV per atom
space-group type = P2_1/m, No. 11

Cell: 6.781 7.028 9.811 Å, 90.00 109.98 90.00°
Fractional coordinates of all 14 atoms:
Mo 0.820 0.250 0.718
Mo 0.180 0.750 0.282
S 0.669 0.250 0.479
S 0.584 0.250 0.827
S 0.331 0.750 0.521
S 0.023 0.998 0.783
S 0.977 0.498 0.217
S 0.977 0.002 0.217
S 0.416 0.750 0.173
S 0.023 0.502 0.783
K 0.207 0.250 0.519
K 0.793 0.750 0.481
Rb 0.660 0.750 0.903
Rb 0.340 0.250 0.097